# PBE Zr4Sc2In3, optimized geometry
# * symmetry: C2/m, No. 12
# * raw total energy: -57.249 eV/f.u.
# * DOS(E_F): 1.17 states/eV per atom
# * formation energy: -2.178 eV per formula unit
data_Zr4Sc2In3
_chemical_formula_sum 'Zr4 Sc2 In3'
_cell_length_a 4.372
_cell_length_b 5.730
_cell_length_c 9.589
_cell_angle_alpha 68.60
_cell_angle_beta 90.00
_cell_angle_gamma 112.43
_symmetry_space_group_name_H-M 'P 1'
_symmetry_Int_Tables_number 1
_symmetry_space_group_name_Hall 'P 1'
loop_
_atom_site_label
_atom_site_type_symbol
_atom_site_fract_x
_atom_site_fract_y
_atom_site_fract_z
Zr1 Zr 0.666 0.331 0.107
Zr2 Zr 0.004 0.009 0.667
Zr3 Zr 0.996 0.991 0.333
Zr4 Zr 0.334 0.669 0.893
Sc1 Sc 0.325 0.650 0.232
Sc2 Sc 0.675 0.350 0.768
In1 In 0.341 0.682 0.559
In2 In 0.000 0.000 0.000
In3 In 0.659 0.318 0.441

=====

# PBE Zr3Sc3In2, optimized geometry
# * symmetry: Pmmm, No. 47
# * raw total energy: -52.104 eV/f.u.
# * DOS(E_F): 1.33 states/eV per atom
# * formation energy: -1.988 eV per formula unit
data_Zr3Sc3In2
_chemical_formula_sum 'Zr3 Sc3 In2'
_cell_length_a 4.452
_cell_length_b 4.462
_cell_length_c 9.058
_cell_angle_alpha 90.00
_cell_angle_beta 90.00
_cell_angle_gamma 90.00
_symmetry_space_group_name_H-M 'P 1'
_symmetry_Int_Tables_number 1
_symmetry_space_group_name_Hall 'P 1'
loop_
_atom_site_label
_atom_site_type_symbol
_atom_site_fract_x
_atom_site_fract_y
_atom_site_fract_z
Zr1 Zr 0.500 0.000 0.500
Zr2 Zr 0.000 0.500 0.000
Zr3 Zr 0.000 0.500 0.500
Sc1 Sc 0.500 0.500 0.751
Sc2 Sc 0.500 0.500 0.249
Sc3 Sc 0.500 0.000 0.000
In1 In 0.000 0.000 0.751
In2 In 0.000 0.000 0.249

=====

# PBE Zr2ScIn3, optimized geometry
# * symmetry: Cmmm, No. 65
# * raw total energy: -33.730 eV/f.u.
# * DOS(E_F): 0.90 states/eV per atom
# * formation energy: -2.087 eV per formula unit
# * energy above the lowest structure with this stoichiometry: 0 kJ/mol of formula units
data_Zr2ScIn3
_chemical_formula_sum 'Zr4 Sc2 In6'
_cell_length_a 4.495
_cell_length_b 7.086
_cell_length_c 8.820
_cell_angle_alpha 90.00
_cell_angle_beta 90.00
_cell_angle_gamma 71.51
_symmetry_space_group_name_H-M 'P 1'
_symmetry_Int_Tables_number 1
_symmetry_space_group_name_Hall 'P 1'
loop_
_atom_site_label
_atom_site_type_symbol
_atom_site_fract_x
_atom_site_fract_y
_atom_site_fract_z
Zr1 Zr 0.000 0.000 0.000
Zr2 Zr 0.000 0.000 0.500
Zr3 Zr 0.332 0.335 0.500
Zr4 Zr 0.668 0.665 0.500
Sc1 Sc 0.335 0.331 0.000
Sc2 Sc 0.665 0.669 0.000
In1 In 0.833 0.334 0.751
In2 In 0.500 0.000 0.249
In3 In 0.167 0.666 0.249
In4 In 0.833 0.334 0.249
In5 In 0.167 0.666 0.751
In6 In 0.500 0.000 0.751

=====

# PBE Zr3ScIn2, optimized geometry
# * symmetry: Immm, No. 71
# * raw total energy: -36.137 eV/f.u.
# * DOS(E_F): 1.25 states/eV per atom
# * formation energy: 1.316 eV per formula unit
# * energy above the lowest structure with this stoichiometry: 218 kJ/mol of formula units
data_Zr3ScIn2
_chemical_formula_sum 'Zr3 Sc1 In2'
_cell_length_a 3.074
_cell_length_b 5.382
_cell_length_c 9.177
_cell_angle_alpha 107.05
_cell_angle_beta 99.64
_cell_angle_gamma 90.00
_symmetry_space_group_name_H-M 'P 1'
_symmetry_Int_Tables_number 1
_symmetry_space_group_name_Hall 'P 1'
loop_
_atom_site_label
_atom_site_type_symbol
_atom_site_fract_x
_atom_site_fract_y
_atom_site_fract_z
Zr1 Zr 0.000 0.500 0.000
Zr2 Zr 0.822 0.822 0.644
Zr3 Zr 0.178 0.178 0.356
Sc1 Sc 0.000 0.000 0.000
In1 In 0.653 0.653 0.306
In2 In 0.347 0.347 0.694

=====

# PBE ZrScIn6, optimized geometry
# * symmetry: P4/mmm, No. 123
# * raw total energy: -33.223 eV/f.u.
# * DOS(E_F): 0.63 states/eV per atom
# * formation energy: -1.913 eV per formula unit
data_ZrScIn6
_chemical_formula_sum 'Zr1 Sc1 In6'
_cell_length_a 4.498
_cell_length_b 4.498
_cell_length_c 9.089
_cell_angle_alpha 90.00
_cell_angle_beta 90.00
_cell_angle_gamma 90.00
_symmetry_space_group_name_H-M 'P 1'
_symmetry_Int_Tables_number 1
_symmetry_space_group_name_Hall 'P 1'
loop_
_atom_site_label
_atom_site_type_symbol
_atom_site_fract_x
_atom_site_fract_y
_atom_site_fract_z
Zr1 Zr 0.000 0.000 0.000
Sc1 Sc 0.000 0.000 0.500
In1 In 0.500 0.500 0.000
In2 In 0.500 0.500 0.500
In3 In 0.500 0.000 0.250
In4 In 0.500 0.000 0.750
In5 In 0.000 0.500 0.250
In6 In 0.000 0.500 0.750

=====

# PBE ZrSc4In, optimized geometry
# * symmetry: F-43m, No. 216
# * raw total energy: -35.801 eV/f.u.
# * DOS(E_F): 0.84 states/eV per atom
# * formation energy: 0.811 eV per formula unit
# * energy above the lowest structure with this stoichiometry: 168 kJ/mol of formula units
data_ZrSc4In
_chemical_formula_sum 'Zr1 Sc4 In1'
_cell_length_a 5.862
_cell_length_b 5.862
_cell_length_c 5.862
_cell_angle_alpha 60.00
_cell_angle_beta 60.00
_cell_angle_gamma 60.00
_symmetry_space_group_name_H-M 'P 1'
_symmetry_Int_Tables_number 1
_symmetry_space_group_name_Hall 'P 1'
loop_
_atom_site_label
_atom_site_type_symbol
_atom_site_fract_x
_atom_site_fract_y
_atom_site_fract_z
Zr1 Zr 0.750 0.750 0.750
Sc1 Sc 0.872 0.376 0.376
Sc2 Sc 0.376 0.376 0.872
Sc3 Sc 0.376 0.872 0.376
Sc4 Sc 0.376 0.376 0.376
In1 In 0.000 0.000 0.000